DFT (GGA-PBE) results for a geometry-optimized Rb3Ho2CrTe6 structure. Values from VASP.

Quantum ESPRESSO input file:
```
&SYSTEM
  ibrav = 0, nat = 12, ntyp = 4
/
ATOMIC_SPECIES
Rb 85.47 Rb.upf
Ho 164.93 Ho.upf
Cr 52.00 Cr.upf
Te 127.60 Te.upf
ATOMIC_POSITIONS angstrom
Rb -4.6450 1.7015 0.1214
Rb -3.4457 5.1413 -2.2019
Rb -5.8443 -1.7384 2.4446
Ho -1.8961 0.7861 -3.8927
Ho -3.1134 -2.7052 -1.5347
Cr 0.0000 0.0000 0.0000
Te -2.4660 -1.0437 0.9908
Te -7.9611 1.1854 1.4545
Te -6.8240 4.4467 -0.7481
Te -1.3289 2.2176 -1.2118
Te -4.6010 -0.4312 -3.0136
Te -4.6891 3.8342 3.2563
CELL_PARAMETERS angstrom
-0.6691 4.3053 -6.2696
-4.3404 -6.2244 0.8421
-4.2805 5.3221 5.6702
```

Summary:
- formation energy from raw total energies (kJ/mol of formula units) = -1227

DFT (GGA-PBE) results for a geometry-optimized HoCrRu2 structure. Values from VASP.

Quantum ESPRESSO input file:
```
&SYSTEM
  ibrav = 0, nat = 4, ntyp = 3
/
ATOMIC_SPECIES
Ru 101.07 Ru.upf
Cr 52.00 Cr.upf
Ho 164.93 Ho.upf
ATOMIC_POSITIONS angstrom
Ru -3.2690 3.2180 2.6155
Ru -0.8531 0.8398 0.6826
Cr 0.0142 -1.3865 1.7236
Ho -2.0469 0.6424 3.3727
CELL_PARAMETERS angstrom
-1.7229 -2.4606 0.8739
1.7514 -0.3124 2.5733
-4.1221 4.0578 3.2981
```

Summary:
- ΔH_f (0 K) (eV per atom) = -0.019

DFT (GGA-PBE) results for a geometry-optimized HoCrSnRu structure. Values from VASP.

Quantum ESPRESSO input file:
```
&SYSTEM
  ibrav = 0, nat = 4, ntyp = 4
/
ATOMIC_SPECIES
Cr 52.00 Cr.upf
Ru 101.07 Ru.upf
Ho 164.93 Ho.upf
Sn 118.71 Sn.upf
ATOMIC_POSITIONS angstrom
Cr 7.0418 4.0656 2.8748
Ru 2.3473 1.3552 0.9583
Ho 0.0000 0.0000 0.0000
Sn 4.6945 2.7104 1.9165
CELL_PARAMETERS angstrom
4.6945 0.0000 0.0000
2.3473 4.0656 0.0000
2.3473 1.3552 3.8330
```

Summary:
- ΔH_f (0 K) (eV per atom) = -0.221

DFT (GGA-PBE) results for a geometry-optimized HoTmCrRu structure. Values from VASP.

Quantum ESPRESSO input file:
```
&SYSTEM
  ibrav = 0, nat = 4, ntyp = 4
/
ATOMIC_SPECIES
Ru 101.07 Ru.upf
Cr 52.00 Cr.upf
Ho 164.93 Ho.upf
Tm 168.93 Tm.upf
ATOMIC_POSITIONS angstrom
Ru 2.4304 1.4032 0.9922
Cr 7.2913 4.2097 2.9767
Ho 4.8609 2.8064 1.9845
Tm 0.0000 0.0000 0.0000
CELL_PARAMETERS angstrom
4.8609 0.0000 0.0000
2.4304 4.2097 0.0000
2.4304 1.4032 3.9689
```

Summary:
- ΔH_f (0 K) (eV per atom) = -0.067

DFT (GGA-PBE) results for a geometry-optimized HoCrS structure. Values from VASP.

Quantum ESPRESSO input file:
```
&SYSTEM
  ibrav = 0, nat = 6, ntyp = 3
/
ATOMIC_SPECIES
S 32.06 S.upf
Ho 164.93 Ho.upf
Cr 52.00 Cr.upf
ATOMIC_POSITIONS angstrom
S 1.7336 0.6665 0.0000
S 0.0000 1.6684 5.5503
Ho 1.7336 0.6677 7.4727
Ho 1.7336 0.6677 3.6279
Cr 0.0000 1.6672 1.3027
Cr 0.0000 1.6672 9.7978
CELL_PARAMETERS angstrom
3.4671 0.0000 0.0000
-1.7336 3.0021 0.0000
0.0000 0.0000 11.1006
```

Summary:
- formation energy from raw total energies (kJ/mol of formula units) = -148

DFT (GGA-PBE) results for a geometry-optimized Ho3Cr5S12 structure. Values from VASP.

Quantum ESPRESSO input file:
```
&SYSTEM
  ibrav = 0, nat = 80, ntyp = 3
/
ATOMIC_SPECIES
S 32.06 S.upf
Cr 52.00 Cr.upf
Ho 164.93 Ho.upf
ATOMIC_POSITIONS angstrom
S -0.3372 0.2136 -10.4358
S 0.9239 -10.9141 -2.0948
S 3.0365 -0.7224 -10.7059
S -1.1305 -6.9092 -8.3612
S 7.8265 -7.5727 -0.5690
S -7.3514 -4.3930 -6.7018
S 3.2664 -2.0679 -7.6659
S -0.1481 -2.0204 -8.1199
S -6.8841 -4.4190 -0.1417
S 0.6468 -5.2004 -2.5598
S -0.9422 -2.2511 -3.8974
S -0.7131 -6.9832 -4.8753
S 5.2289 -4.8152 -8.6311
S 0.1445 2.5852 -8.1449
S -4.6917 -8.5119 1.9332
S -7.0195 -5.7451 -3.6742
S -2.8827 -4.7025 -3.1136
S -3.3186 -4.0224 0.2352
S 7.9679 -3.0529 -9.3359
S -3.5729 -0.2055 -3.8871
S 0.2316 0.3578 -5.8167
S 5.6961 -4.8413 -2.0709
S -4.4573 -7.4255 -4.6747
S 2.8020 -1.8088 -4.0981
S -6.7013 0.0166 -8.9507
S 5.3642 -3.4892 -5.0986
S -0.5247 -2.3250 -0.4116
S -3.0060 -0.7568 -8.9108
S -1.7997 -11.8195 -0.6278
S 1.6633 -5.2119 -9.0079
S 1.3507 -8.4775 0.1381
S 1.9176 -9.0288 -4.8856
S -1.3181 -9.4479 1.6631
S -4.7287 -5.9957 -7.6725
S 3.0734 -3.2386 -1.1002
S -5.5268 -2.6762 -3.2036
S -4.9216 -7.1664 -1.1068
S 3.8715 -6.5581 -5.5691
S -9.4818 -1.6615 -8.2037
S -1.8868 -9.5920 -2.9561
S -4.8856 -1.9299 -6.2731
S 1.2275 -4.5318 -5.6591
S 5.0461 -9.2509 0.1780
S 3.2304 -7.3044 -2.4997
S -2.5792 1.6798 -6.6779
S -2.3021 -4.0339 -6.2129
S -9.6232 -6.1814 0.5631
S -1.5071 -7.2139 -0.6528
Cr 3.4335 -7.7647 -0.3101
Cr 5.4958 -5.2796 -6.4492
Cr -5.8765 -0.6492 -4.4762
Cr -2.4429 -8.4139 -4.7863
Cr -8.8878 -2.7911 -6.3548
Cr -3.1575 -5.7763 -1.1595
Cr 0.0000 0.0000 0.0000
Cr -0.8276 -4.6171 -4.3864
Cr -0.5353 2.6518 -5.8245
Cr -5.0888 -1.4696 -8.4626
Cr 4.5136 -1.3161 -5.7347
Cr 5.0488 -3.9679 0.0898
Cr -0.2924 -7.2689 1.4381
Cr 7.2325 -6.4432 -2.4179
Cr 0.9822 -3.9635 -0.7146
Cr 1.5022 -3.4580 -7.6132
Cr 0.7877 -0.8204 -3.9864
Cr -2.6375 -5.2708 -8.0581
Cr -7.1511 -3.9547 -2.3235
Cr -5.3412 -3.3010 1.3483
Ho 1.6484 0.1765 -8.3323
Ho -6.9565 -7.0978 0.9483
Ho 0.6898 -11.2324 0.7235
Ho -2.3451 1.9981 -9.4963
Ho 0.4953 -8.0893 -2.5482
Ho -4.8943 -4.6127 -5.1908
Ho 3.2390 -4.6216 -3.5819
Ho 5.3013 -2.1365 -9.7210
Ho 1.3561 -7.0924 -6.8941
Ho -2.1506 -1.1450 -6.2245
Ho -3.0113 -2.1418 -1.8786
Ho -3.3037 -9.4108 -0.4404
CELL_PARAMETERS angstrom
-1.0705 5.3035 -11.6490
10.0977 -7.9358 0.1797
-10.6824 -6.6020 2.6966
```

Summary:
- formation energy from raw total energies (kJ/mol of formula units) = -2051